The following is a PBE calculation of crystalline Sm4GaRh2 at its relaxed geometry, from Alexandria.

- total DFT energy (no corrections) (eV/atom) = -5.823
- density of states at the Fermi level (states/eV/atom) = 0.816
- calculated formation energy (eV/atom) = -0.593

Cell: 8.5433 8.5445 7.0869 Å, 108.01 108.02 119.68°
Closest atoms and distances in Å follow each position.
Element x y z (fractional)
Sm: 0.9662 0.2815 0.4014  3 Rh 2.79-3.10, 1 Ga 3.01
Sm: 0.3554 0.5385 0.2637  3 Rh 2.90-2.93, 2 Ga 3.15-3.25
Sm: 0.8379 0.6248 0.6010  3 Rh 2.85-3.06
Sm: 0.7879 0.1059 0.7632  3 Rh 2.90-2.93, 1 Ga 3.15
Sm: 0.3916 0.0013 0.2262  3 Rh 2.75-2.93, 1 Ga 2.99
Sm: 0.2514 0.1419 0.7280  3 Rh 2.75-2.93, 1 Ga 2.99
Sm: 0.5321 0.7157 0.9015  3 Rh 2.79-3.10, 1 Ga 3.01
Sm: 0.8764 0.5893 0.1023  3 Rh 2.85-3.07, 1 Ga 3.19
Ga: 0.2858 0.7979 0.6019  1 Rh 2.70, 2 Sm 2.99-3.01
Ga: 0.0480 0.0360 0.0997  1 Rh 2.70, 2 Sm 2.99-3.01
Rh: 0.4268 0.3538 0.5330  1 Ga 2.70, 5 Sm 2.75-2.93
Rh: 0.7831 0.8520 0.3724  7 Sm 2.79-3.10
Rh: 0.6051 0.1779 0.0337  1 Ga 2.70, 5 Sm 2.75-2.93
Rh: 0.1024 0.5334 0.8719  7 Sm 2.79-3.10